Record 1
# PuMgInO6

Crystalline PuMgInO6 at its relaxed geometry (PBE-GGA, the Alexandria database).

The formation energy without anion corrections is -2.06 eV per atom.

Cell lengths 5.4124, 5.4124, 9.2002 Å; angles 90.00, 90.00, 120.00 degrees
Closest atoms and distances in Å follow each position.
Sites, in units of the cell vectors:
Pu: 0.3333 0.6667 0.2500  6 O 2.03
Pu: 0.6667 0.3333 0.7500  6 O 2.03
Mg: 0.0000 0.0000 0.0000  6 O 2.18
Mg: 0.0000 0.0000 0.5000  6 O 2.18
In: 0.3333 0.6667 0.7500  6 O 2.20
In: 0.6667 0.3333 0.2500  6 O 2.20
O: 0.0247 0.3501 0.1285  1 Pu 2.03, 1 Mg 2.18, 1 In 2.20
O: 0.0247 0.6746 0.3715  1 Pu 2.03, 1 Mg 2.18, 1 In 2.20
O: 0.3254 0.3501 0.3715  1 Pu 2.03, 1 Mg 2.18, 1 In 2.20
O: 0.3254 0.9753 0.1285  1 Pu 2.03, 1 Mg 2.18, 1 In 2.20
O: 0.3501 0.0247 0.6285  1 Pu 2.03, 1 Mg 2.18, 1 In 2.20
O: 0.3501 0.3254 0.8715  1 Pu 2.03, 1 Mg 2.18, 1 In 2.20
O: 0.6499 0.6746 0.1285  1 Pu 2.03, 1 Mg 2.18, 1 In 2.20
O: 0.6499 0.9753 0.3715  1 Pu 2.03, 1 Mg 2.18, 1 In 2.20
O: 0.6746 0.0247 0.8715  1 Pu 2.03, 1 Mg 2.18, 1 In 2.20
O: 0.6746 0.6499 0.6285  1 Pu 2.03, 1 Mg 2.18, 1 In 2.20
O: 0.9753 0.3254 0.6285  1 Pu 2.03, 1 Mg 2.18, 1 In 2.20
O: 0.9753 0.6499 0.8715  1 Pu 2.03, 1 Mg 2.18, 1 In 2.20



Record 2
# RbMg2InO

Crystalline RbMg2InO at its relaxed geometry (PBE-GGA, the Alexandria database).

The formation energy without anion corrections is -0.30 eV per atom.

Cell lengths 4.5241, 4.5241, 6.4246 Å; angles 90.00, 90.00, 90.00 degrees
Closest atoms and distances in Å follow each position.
Sites, in units of the cell vectors:
Rb: 0.0000 0.0000 0.0000  4 In 3.20
Mg: 0.0000 0.5000 0.5000  2 O 2.26
Mg: 0.5000 0.0000 0.5000  2 O 2.26
In: 0.5000 0.5000 0.0000  4 Rb 3.20, 2 O 3.21
O: 0.5000 0.5000 0.5000  4 Mg 2.26



Record 3
# MgInReO6

Crystalline MgInReO6 at its relaxed geometry (PBE-GGA, the Alexandria database).

The formation energy without anion corrections is -1.78 eV per atom.

Cell lengths 5.1634, 5.1634, 9.2551 Å; angles 90.00, 90.00, 120.00 degrees
Closest atoms and distances in Å follow each position.
Sites, in units of the cell vectors:
Mg: 0.3333 0.6667 0.2500  6 O 2.07
Mg: 0.6667 0.3333 0.7500  6 O 2.07
In: 0.0000 0.0000 0.0000  6 O 2.21
In: 0.0000 0.0000 0.5000  6 O 2.21
Re: 0.3333 0.6667 0.7500  6 O 1.90
Re: 0.6667 0.3333 0.2500  6 O 1.90
O: 0.0262 0.3645 0.6351  1 Re 1.90, 1 Mg 2.07
O: 0.0262 0.6617 0.8649  1 Re 1.90, 1 Mg 2.07
O: 0.3383 0.3645 0.8649  1 Re 1.90, 1 Mg 2.07
O: 0.3383 0.9738 0.6351  1 Re 1.90, 1 Mg 2.07
O: 0.3645 0.0262 0.1351  1 Re 1.90, 1 Mg 2.07
O: 0.3645 0.3383 0.3649  1 Re 1.90, 1 Mg 2.07
O: 0.6355 0.6617 0.6351  1 Re 1.90, 1 Mg 2.07
O: 0.6355 0.9738 0.8649  1 Re 1.90, 1 Mg 2.07
O: 0.6617 0.0262 0.3649  1 Re 1.90, 1 Mg 2.07
O: 0.6617 0.6355 0.1351  1 Re 1.90, 1 Mg 2.07
O: 0.9738 0.3383 0.1351  1 Re 1.90, 1 Mg 2.07
O: 0.9738 0.6355 0.3649  1 Re 1.90, 1 Mg 2.07